1.
Material: ScSiNi2P
Method: DFT, PBE
State: optimized geometry

extended XYZ file:
```
5
Lattice="-1.879 1.879 4.734 1.879 -1.879 4.734 1.879 1.879 -4.734" Properties=species:S:1:pos:R:3 pbc="T T T"
Sc 0.000 0.000 0.000
Si 0.000 0.000 5.873
Ni 1.879 0.000 2.407
Ni 0.000 1.879 2.407
P 0.000 0.000 3.632
```

Properties
As for the crystal system: tetragonal. The electronic total energy comes out at -0.4830 Ry/atom. For the total magnetization, the calculation gives 0.00 μB/f.u.

***

2.
Material: Ni3P2Se8
Method: DFT, PBE
State: optimized geometry

extended XYZ file:
```
13
Lattice="7.144 0.000 0.000 -3.572 6.187 0.000 0.000 0.000 7.408" Properties=species:S:1:pos:R:3 pbc="T T T"
Ni -1.786 3.093 0.000
Ni 3.572 0.000 0.000
Ni 1.786 3.093 0.000
P 0.000 4.124 2.519
P 3.572 2.062 4.889
Se 0.000 2.200 1.240
Se -1.667 5.087 1.240
Se 0.000 4.124 4.619
Se 1.905 1.100 6.168
Se 1.667 5.087 1.240
Se 3.572 2.062 2.789
Se 5.239 1.100 6.168
Se 3.572 3.987 6.168
```

Properties
As for the crystal system: trigonal. The electronic total energy comes out at -0.3243 Ry/atom. For the total magnetization, the calculation gives 0.01 μB/f.u.